1.
Entry from Alexandria via LeMat-Bulk: a geometry-optimized CoSb2RuBr structure (GGA-PBEsol).

The calculation puts the energy relative to the elements, uncorrected at 0.820 eV/atom. The calculation puts the theoretical density at 7.33 Mg/m³. The total magnetic moment comes out at 3.13 Bohr magnetons per cell.

It has space group P4/mmm (No. 123), with a = 4.7559 Å, b = 4.7559 Å, c = 4.8423 Å, α = 90.00°, β = 90.00° and γ = 90.00°. The distinct sites, in fractional coordinates, are Co at (0.0000, 0.0000, 0.0000), Sb at (0.0000, 0.5000, 0.0000), Ru at (0.0000, 0.0000, 0.5000) and Br at (0.5000, 0.5000, 0.5000).

***

2.
Entry from Alexandria via LeMat-Bulk: a geometry-optimized CsAg5Se3 structure (GGA-PBEsol).

The calculation puts the energy relative to the elements, uncorrected at -0.305 eV/atom. The calculation puts the theoretical density at 7.26 Mg/m³. The total magnetic moment comes out at 0.00 Bohr magnetons per cell.

It has space group P4_2/mnm (No. 136), with a = 13.8736 Å, b = 13.8736 Å, c = 4.3209 Å, α = 90.00°, β = 90.00° and γ = 90.00°. The distinct sites, in fractional coordinates, are Cs at (0.1145, 0.1145, 0.0000), Ag at (0.0153, 0.3930, 0.0000), Ag at (0.0777, 0.7177, 0.5000), Ag at (0.1747, 0.8253, 0.0000), Se at (0.0968, 0.9032, 0.5000) and Se at (0.1190, 0.3266, 0.5000).